Here is crystalline CaLa2Te at its relaxed geometry from Alexandria. Energies are from PBE.

POSCAR file:
```
CaLa2Te
1.0
6.318 -2.008 0.000
6.318 2.008 0.000
-2.465 0.000 5.230
Ca La Te
1 2 1
Direct
0.000 0.000 0.000 Ca
0.223 0.223 0.615 La
0.442 0.442 0.455 La
0.721 0.721 0.086 Te
```

Output
Fermi-level density of states   4.4 states/eV per cell
Uncorrected formation energy   -593 meV per atom
E_tot   -17.4 eV/f.u.
Magnetization   0.00 Bohr magnetons per cell
Space group   Cm

=====

Here is crystalline CaLa5Te6 at its relaxed geometry from Alexandria. Energies are from PBE.

POSCAR file:
```
CaLa5Te6
1.0
3.955 -6.865 0.000
3.955 6.865 0.000
-2.645 0.000 7.463
Ca La Te
1 5 6
Direct
0.000 0.000 0.000 Ca
0.169 0.831 0.500 La
0.334 0.666 0.000 La
0.500 0.500 0.500 La
0.666 0.334 0.000 La
0.831 0.169 0.500 La
0.081 0.408 0.245 Te
0.244 0.244 0.752 Te
0.408 0.081 0.245 Te
0.592 0.919 0.755 Te
0.756 0.756 0.248 Te
0.919 0.592 0.755 Te
```

Output
Fermi-level density of states   7.7 states/eV per cell
Uncorrected formation energy   -1590 meV per atom
E_tot   -64.6 eV/f.u.
Magnetization   0.00 Bohr magnetons per cell
Space group   C2/m

=====

Here is crystalline CaLaTe at its relaxed geometry from Alexandria. Energies are from PBE.

POSCAR file:
```
CaLaTe
1.0
-1.964 1.964 6.806
1.964 -1.964 6.806
1.964 1.964 -6.806
Ca La Te
1 1 1
Direct
0.000 0.000 0.000 Ca
0.277 0.277 0.000 La
0.642 0.642 0.000 Te
```

Output
Fermi-level density of states   3.5 states/eV per cell
Uncorrected formation energy   -862 meV per atom
E_tot   -12.7 eV/f.u.
Magnetization   0.38 Bohr magnetons per cell
Space group   I4mm

=====

Here is crystalline Ca4LaTe at its relaxed geometry from Alexandria. Energies are from PBE.

POSCAR file:
```
Ca4LaTe
1.0
0.000 4.889 4.889
4.889 0.000 4.889
4.889 4.889 0.000
Ca La Te
4 1 1
Direct
0.124 0.124 0.124 Ca
0.124 0.124 0.628 Ca
0.124 0.628 0.124 Ca
0.628 0.124 0.124 Ca
0.750 0.750 0.750 La
0.500 0.500 0.500 Te
```

Output
Fermi-level density of states   4.7 states/eV per cell
Uncorrected formation energy   48 meV per atom
E_tot   -15.8 eV/f.u.
Magnetization   0.88 Bohr magnetons per cell
Space group   F-43m

=====

Here is crystalline CaLaTe4 at its relaxed geometry from Alexandria. Energies are from PBE.

POSCAR file:
```
CaLaTe4
1.0
0.000 4.599 4.599
4.599 0.000 4.599
4.599 4.599 0.000
Ca La Te
1 1 4
Direct
0.000 0.000 0.000 Ca
0.750 0.750 0.750 La
0.375 0.375 0.375 Te
0.375 0.375 0.875 Te
0.375 0.875 0.375 Te
0.875 0.375 0.375 Te
```

Output
Fermi-level density of states   7.1 states/eV per cell
Uncorrected formation energy   -268 meV per atom
E_tot   -21.1 eV/f.u.
Magnetization   0.00 Bohr magnetons per cell
Space group   F-43m

=====

Here is crystalline CaLaTe at its relaxed geometry from Alexandria. Energies are from PBE.

POSCAR file:
```
CaLaTe
1.0
0.000 3.741 3.741
3.741 0.000 3.741
3.741 3.741 0.000
Ca La Te
1 1 1
Direct
0.000 0.000 0.000 Ca
0.500 0.500 0.500 La
0.750 0.750 0.750 Te
```

Output
Fermi-level density of states   3.9 states/eV per cell
Uncorrected formation energy   -693 meV per atom
E_tot   -12.1 eV/f.u.
Magnetization   0.00 Bohr magnetons per cell
Space group   F-43m